[1]
! Cs2TcO | the Alexandria database | PBE-GGA | relaxed; values from VASP
&SYSTEM
  ibrav = 0, nat = 4, ntyp = 3
/
ATOMIC_SPECIES
Cs 132.91 Cs.upf
Tc 98.00 Tc.upf
O 16.00 O.upf
CELL_PARAMETERS angstrom
0.000 3.681 3.681
3.681 0.000 3.681
3.681 3.681 0.000
ATOMIC_POSITIONS crystal
Cs 0.250 0.250 0.250
Cs 0.750 0.750 0.750
Tc 0.500 0.500 0.500
O 0.000 0.000 0.000
! Volume   24.94 A^3/atom
! Total DFT energy (no corrections)   -3.0776 eV/atom
! D(E_F)   3.40 states/eV/cell
! Symmetry   Fm-3m, No. 225
! Size of the total moment   4.99 μB/f.u.

---

[2]
! Cs4TcO5 | the Alexandria database | PBE-GGA | relaxed; values from VASP
&SYSTEM
  ibrav = 0, nat = 10, ntyp = 3
/
ATOMIC_SPECIES
Cs 132.91 Cs.upf
Tc 98.00 Tc.upf
O 16.00 O.upf
CELL_PARAMETERS angstrom
6.286 0.000 0.000
3.143 6.275 0.000
3.143 0.000 6.275
ATOMIC_POSITIONS crystal
Cs 0.419 0.411 0.816
Cs 0.830 0.816 0.589
Cs 0.235 0.184 0.411
Cs 0.646 0.589 0.184
Tc 0.072 0.000 0.000
O 0.924 0.263 0.866
O 0.187 0.866 0.737
O 0.790 0.134 0.263
O 0.053 0.737 0.134
O 0.355 0.000 0.000
! Volume   24.75 A^3/atom
! Total DFT energy (no corrections)   -5.3355 eV/atom
! D(E_F)   0.06 states/eV/cell
! Symmetry   I4, No. 79
! Size of the total moment   1.04 μB/f.u.

---

[3]
! CsTc2TeO8 | the Alexandria database | PBE-GGA | relaxed; values from VASP
&SYSTEM
  ibrav = 0, nat = 12, ntyp = 4
/
ATOMIC_SPECIES
Cs 132.91 Cs.upf
Tc 98.00 Tc.upf
Te 127.60 Te.upf
O 16.00 O.upf
CELL_PARAMETERS angstrom
5.508 -0.714 0.267
1.907 5.216 0.267
0.782 0.475 9.125
ATOMIC_POSITIONS crystal
Cs 0.000 0.000 0.500
Tc 0.601 0.601 0.244
Tc 0.399 0.399 0.756
Te 0.000 0.000 0.000
O 0.716 0.302 0.772
O 0.761 0.761 0.092
O 0.673 0.673 0.410
O 0.327 0.327 0.590
O 0.239 0.239 0.908
O 0.302 0.716 0.772
O 0.698 0.284 0.228
O 0.284 0.698 0.228
! Volume   22.74 A^3/atom
! Total DFT energy (no corrections)   -6.6670 eV/atom
! D(E_F)   3.28 states/eV/cell
! Symmetry   C2/m, No. 12
! Size of the total moment   0.00 μB/f.u.

---

[4]
! CsTcTeO6 | the Alexandria database | PBE-GGA | relaxed; values from VASP
&SYSTEM
  ibrav = 0, nat = 9, ntyp = 4
/
ATOMIC_SPECIES
Cs 132.91 Cs.upf
Tc 98.00 Tc.upf
Te 127.60 Te.upf
O 16.00 O.upf
CELL_PARAMETERS angstrom
-0.671 4.800 -2.462
-4.879 1.396 -1.949
-1.521 2.750 5.777
ATOMIC_POSITIONS crystal
Cs 0.000 0.000 0.000
Tc 0.667 0.667 0.500
Te 0.333 0.333 0.500
O 0.990 0.448 0.321
O 0.448 0.990 0.679
O 0.562 0.448 0.679
O 0.990 0.562 0.679
O 0.448 0.562 0.321
O 0.562 0.990 0.321
! Volume   18.70 A^3/atom
! Total DFT energy (no corrections)   -6.2457 eV/atom
! Symmetry   P312, No. 149
! Size of the total moment   0.00 μB/f.u.

---

[5]
! Cs2ThTc3O12 | the Alexandria database | PBE-GGA | relaxed; values from VASP
&SYSTEM
  ibrav = 0, nat = 18, ntyp = 4
/
ATOMIC_SPECIES
Cs 132.91 Cs.upf
Th 232.04 Th.upf
Tc 98.00 Tc.upf
O 16.00 O.upf
CELL_PARAMETERS angstrom
7.728 0.220 0.156
4.008 6.612 0.156
4.008 2.333 6.188
ATOMIC_POSITIONS crystal
Cs 0.615 0.615 0.615
Cs 0.385 0.385 0.385
Th 0.000 0.000 0.000
Tc 0.500 0.000 0.000
Tc 0.000 0.500 0.000
Tc 0.000 0.000 0.500
O 0.299 0.299 0.929
O 0.923 0.923 0.362
O 0.362 0.923 0.923
O 0.929 0.299 0.299
O 0.923 0.362 0.923
O 0.299 0.929 0.299
O 0.701 0.701 0.071
O 0.077 0.077 0.638
O 0.638 0.077 0.077
O 0.071 0.701 0.701
O 0.077 0.638 0.077
O 0.701 0.071 0.701
! Volume   16.97 A^3/atom
! Total DFT energy (no corrections)   -7.3532 eV/atom
! D(E_F)   7.54 states/eV/cell
! Symmetry   R-3m, No. 166
! Size of the total moment   2.52 μB/f.u.

---

[6]
! Cs2ThTcO6 | the Alexandria database | PBE-GGA | relaxed; values from VASP
&SYSTEM
  ibrav = 0, nat = 10, ntyp = 4
/
ATOMIC_SPECIES
Cs 132.91 Cs.upf
Th 232.04 Th.upf
Tc 98.00 Tc.upf
O 16.00 O.upf
CELL_PARAMETERS angstrom
5.777 0.000 0.000
0.000 5.777 0.000
-2.888 -2.888 6.192
ATOMIC_POSITIONS crystal
Cs 0.794 0.294 0.587
Cs 0.294 0.794 0.587
Th 0.534 0.535 0.068
Tc 0.037 0.037 0.074
O 0.767 0.768 0.982
O 0.699 0.700 0.398
O 0.214 0.215 0.982
O 0.767 0.215 0.982
O 0.178 0.179 0.356
O 0.215 0.768 0.982
! Volume   20.67 A^3/atom
! Total DFT energy (no corrections)   -7.0365 eV/atom
! D(E_F)   0.98 states/eV/cell
! Symmetry   I4mm, No. 107
! Size of the total moment   0.91 μB/f.u.

---

[7]
! CsThTc2O8 | the Alexandria database | PBE-GGA | relaxed; values from VASP
&SYSTEM
  ibrav = 0, nat = 12, ntyp = 4
/
ATOMIC_SPECIES
Cs 132.91 Cs.upf
Th 232.04 Th.upf
Tc 98.00 Tc.upf
O 16.00 O.upf
CELL_PARAMETERS angstrom
-0.982 6.006 -0.619
-1.143 -2.752 5.342
8.080 1.583 2.544
ATOMIC_POSITIONS crystal
Cs 0.000 0.000 0.000
Th 0.000 0.000 0.500
Tc 0.667 0.333 0.260
Tc 0.333 0.667 0.740
O 0.333 0.667 0.943
O 0.344 0.173 0.337
O 0.827 0.171 0.337
O 0.667 0.333 0.057
O 0.173 0.829 0.663
O 0.656 0.827 0.663
O 0.171 0.344 0.663
O 0.829 0.656 0.337
! Volume   23.27 A^3/atom
! Total DFT energy (no corrections)   -7.7243 eV/atom
! D(E_F)   7.20 states/eV/cell
! Symmetry   P-3, No. 147
! Size of the total moment   3.01 μB/f.u.

---

[8]
! CsTh2TcO8 | the Alexandria database | PBE-GGA | relaxed; values from VASP
&SYSTEM
  ibrav = 0, nat = 12, ntyp = 4
/
ATOMIC_SPECIES
Cs 132.91 Cs.upf
Th 232.04 Th.upf
Tc 98.00 Tc.upf
O 16.00 O.upf
CELL_PARAMETERS angstrom
-1.463 4.580 2.565
0.564 -1.341 5.063
6.687 1.615 2.390
ATOMIC_POSITIONS crystal
Cs 0.000 0.000 0.500
Th 0.458 0.383 0.765
Th 0.542 0.617 0.235
Tc 0.000 0.000 0.000
O 0.953 0.705 0.232
O 0.725 0.933 0.892
O 0.755 0.268 0.081
O 0.047 0.295 0.768
O 0.275 0.067 0.108
O 0.245 0.732 0.919
O 0.561 0.710 0.514
O 0.439 0.290 0.486
! Volume   15.91 A^3/atom
! Total DFT energy (no corrections)   -7.8657 eV/atom
! Symmetry   P-1, No. 2
! Size of the total moment   0.00 μB/f.u.